A plane-wave DFT calculation with GGA-PBE was carried out for an optimized crystal structure of PrSmTh2Se4.

Cell and atoms, written as extended XYZ:
```
8
Lattice="7.207 0.000 0.000 0.000 4.229 0.000 -2.462 0.000 6.925" Properties=species:S:1:pos:R:3 pbc="T T T"
Pr 0.000 0.000 0.000
Sm 3.603 2.114 0.000
Th -1.231 2.114 3.462
Th 2.372 0.000 3.462
Se 1.212 2.114 1.726
Se -0.021 0.000 5.216
Se 4.766 0.000 1.709
Se 3.533 2.114 5.199
```

## Properties
The raw formation energy is -1.672 eV per atom. Its symmetry is P2/m (10).